Record 1
## HgGeS3 (PBEsol)

Data for a geometry-optimized HgGeS3 structure.

Lattice parameters (Å, degrees): 4.870 4.870 4.870 90.00 90.00 90.00
Fractional positions:
1 S 0.000 0.000 0.500
2 Ge 0.500 0.500 0.500
3 Hg 0.000 0.000 0.000
4 S 0.500 0.000 0.000
5 S 0.000 0.500 0.000

Output
Total moment (μB/cell): 0.00
Calculated density (Mg/m³): 5.31
DOS(E_F) (states/eV per cell): 3.28

Record 2
## HgGeS2 (PBEsol)

Data for a geometry-optimized HgGeS2 structure.

Lattice parameters (Å, degrees): 3.846 3.846 7.842 75.80 75.80 60.00
Fractional positions:
1 Hg 0.500 0.500 0.500
2 Ge 0.000 0.000 0.000
3 S 0.899 0.899 0.302
4 S 0.101 0.101 0.698

Output
Total moment (μB/cell): 0.00
Calculated density (Mg/m³): 5.81
DOS(E_F) (states/eV per cell): 1.84

Record 3
## Zn2HgGeS (PBEsol)

Data for a geometry-optimized Zn2HgGeS structure.

Lattice parameters (Å, degrees): 4.830 4.830 5.250 90.00 90.00 90.00
Fractional positions:
1 Hg 0.000 0.000 0.000
2 S 0.000 0.000 0.500
3 Ge 0.500 0.500 0.500
4 Zn 0.500 0.000 0.000
5 Zn 0.000 0.500 0.000

Output
Total moment (μB/cell): 0.01
Calculated density (Mg/m³): 5.91
DOS(E_F) (states/eV per cell): 4.00

Record 4
## HgGeSb2 (PBEsol)

Data for a geometry-optimized HgGeSb2 structure.

Lattice parameters (Å, degrees): 6.339 6.339 7.631 114.54 114.54 90.00
Fractional positions:
1 Ge 0.750 0.250 0.500
2 Sb 0.860 0.375 0.250
3 Sb 0.125 0.140 0.750
4 Sb 0.625 0.610 0.750
5 Sb 0.390 0.875 0.250
6 Hg 0.000 0.000 0.000
7 Ge 0.500 0.500 0.000
8 Hg 0.250 0.750 0.500

Output
Total moment (μB/cell): 0.00
Calculated density (Mg/m³): 6.92
DOS(E_F) (states/eV per cell): 0.72

Record 5
## Sc2HgGe2 (PBEsol)

Data for a geometry-optimized Sc2HgGe2 structure.

Lattice parameters (Å, degrees): 3.885 6.968 6.968 90.00 90.00 90.00
Fractional positions:
1 Sc 0.500 0.176 0.676
2 Sc 0.500 0.324 0.176
3 Hg 0.000 0.500 0.500
4 Sc 0.500 0.824 0.324
5 Ge 0.000 0.124 0.376
6 Ge 0.000 0.624 0.124
7 Ge 0.000 0.876 0.624
8 Sc 0.500 0.676 0.824
9 Hg 0.000 0.000 0.000
10 Ge 0.000 0.376 0.876

Output
Total moment (μB/cell): 0.00
Calculated density (Mg/m³): 7.67
DOS(E_F) (states/eV per cell): 3.56
Energy relative to the elements (eV per formula unit): -3.3

Record 6
## ScHg3Ge (PBEsol)

Data for a geometry-optimized ScHg3Ge structure.

Lattice parameters (Å, degrees): 5.066 5.066 5.066 90.00 90.00 90.00
Fractional positions:
1 Hg 0.000 0.000 0.500
2 Hg 0.500 0.000 0.000
3 Ge 0.000 0.000 0.000
4 Hg 0.000 0.500 0.000
5 Sc 0.500 0.500 0.500

Output
Total moment (μB/cell): 0.00
Calculated density (Mg/m³): 9.19
DOS(E_F) (states/eV per cell): 3.75
Energy relative to the elements (eV per formula unit): 1.9

Number 1: calculated total energy -14.88 eV per formula unit. Number 2: calculated total energy -13.06 eV per formula unit. Number 3: calculated total energy -9.22 eV per formula unit. Number 4: calculated total energy -14.24 eV per formula unit. Number 5: calculated total energy -27.00 eV per formula unit. Number 6: calculated total energy -11.36 eV per formula unit.